Entry 1:
# Dy2ZnFe

Crystalline Dy2ZnFe at its relaxed geometry (PBE, the Alexandria database).

Properties
- offset from the most stable computed form (meV/atom) = 484.6
- space group = R-3m, No. 166
- total magnetic moment (Bohr magnetons per cell) = 0.677
- calculated formation energy (meV per atom) = 378

Cell lengths 9.860, 9.860, 9.860 Å; angles 20.89, 20.89, 20.89 degrees
Element x y z (fractional)
Dy 0.108 0.108 0.108
Dy 0.892 0.892 0.892
Zn 0.000 0.000 0.000
Fe 0.500 0.500 0.500

---

Entry 2:
# DyZrZnFe

Crystalline DyZrZnFe at its relaxed geometry (PBE, the Alexandria database).

Properties
- space group = F-43m, No. 216
- total magnetic moment (Bohr magnetons per cell) = 0.359
- calculated formation energy (meV per atom) = -82

Cell lengths 4.749, 4.749, 4.749 Å; angles 60.00, 60.00, 60.00 degrees
Element x y z (fractional)
Dy 0.000 0.000 0.000
Zr 0.500 0.500 0.500
Zn 0.750 0.750 0.750
Fe 0.250 0.250 0.250

---

Entry 3:
# Dy2ZrFe

Crystalline Dy2ZrFe at its relaxed geometry (PBE, the Alexandria database).

Properties
- space group = R-3m, No. 166
- total magnetic moment (Bohr magnetons per cell) = 1.293
- calculated formation energy (meV per atom) = 450

Cell lengths 10.535, 10.535, 10.535 Å; angles 17.89, 17.89, 17.89 degrees
Element x y z (fractional)
Dy 0.103 0.103 0.103
Dy 0.897 0.897 0.897
Zr 0.000 0.000 0.000
Fe 0.500 0.500 0.500

---

Entry 4:
# DyZrFe10

Crystalline DyZrFe10 at its relaxed geometry (PBE, the Alexandria database).

Properties
- space group = Pmmm, No. 47
- total magnetic moment (Bohr magnetons per cell) = 19.172
- calculated formation energy (meV per atom) = -65

Cell lengths 3.952, 4.928, 8.508 Å; angles 90.00, 90.00, 90.00 degrees
Element x y z (fractional)
Dy 0.000 0.000 0.000
Zr 0.000 0.500 0.500
Fe 0.000 0.000 0.338
Fe 0.000 0.000 0.662
Fe 0.000 0.500 0.171
Fe 0.000 0.500 0.829
Fe 0.500 0.000 0.500
Fe 0.500 0.252 0.255
Fe 0.500 0.252 0.745
Fe 0.500 0.500 0.000
Fe 0.500 0.748 0.255
Fe 0.500 0.748 0.745

---

Entry 5:
# Dy2ZrFe9

Crystalline Dy2ZrFe9 at its relaxed geometry (PBE, the Alexandria database).

Properties
- space group = P6_3/mmc, No. 194
- total magnetic moment (Bohr magnetons per cell) = 33.552
- calculated formation energy (meV per atom) = -80

Cell lengths 5.010, 5.010, 16.225 Å; angles 90.00, 90.00, 120.00 degrees
Element x y z (fractional)
Dy 0.333 0.667 0.038
Dy 0.333 0.667 0.462
Dy 0.667 0.333 0.538
Dy 0.667 0.333 0.962
Zr 0.333 0.667 0.250
Zr 0.667 0.333 0.750
Fe 0.000 0.000 0.000
Fe 0.000 0.000 0.250
Fe 0.000 0.000 0.500
Fe 0.000 0.000 0.750
Fe 0.167 0.333 0.629
Fe 0.167 0.333 0.871
Fe 0.167 0.833 0.629
Fe 0.167 0.833 0.871
Fe 0.333 0.167 0.129
Fe 0.333 0.167 0.371
Fe 0.333 0.667 0.750
Fe 0.667 0.333 0.250
Fe 0.667 0.833 0.629
Fe 0.667 0.833 0.871
Fe 0.833 0.167 0.129
Fe 0.833 0.167 0.371
Fe 0.833 0.667 0.129
Fe 0.833 0.667 0.371

---

Entry 6:
# DyZrFe4

Crystalline DyZrFe4 at its relaxed geometry (PBE, the Alexandria database).

Properties
- space group = F-43m, No. 216
- total magnetic moment (Bohr magnetons per cell) = 6.410
- calculated formation energy (meV per atom) = -176

Cell lengths 5.056, 5.056, 5.056 Å; angles 60.00, 60.00, 60.00 degrees
Element x y z (fractional)
Dy 0.000 0.000 0.000
Zr 0.750 0.750 0.750
Fe 0.375 0.375 0.375
Fe 0.375 0.375 0.874
Fe 0.375 0.874 0.375
Fe 0.874 0.375 0.375

---

Entry 7:
# Dy3ZrFe8

Crystalline Dy3ZrFe8 at its relaxed geometry (PBE, the Alexandria database).

Properties
- space group = R3m, No. 160
- total magnetic moment (Bohr magnetons per cell) = 13.067
- calculated formation energy (meV per atom) = -127

Cell lengths 8.823, 8.823, 8.823 Å; angles 33.53, 33.53, 33.53 degrees
Element x y z (fractional)
Dy 0.000 0.000 0.000
Dy 0.125 0.125 0.125
Dy 0.625 0.625 0.625
Zr 0.500 0.500 0.500
Fe 0.062 0.062 0.560
Fe 0.062 0.560 0.062
Fe 0.066 0.563 0.563
Fe 0.312 0.312 0.312
Fe 0.560 0.062 0.062
Fe 0.563 0.066 0.563
Fe 0.563 0.563 0.066
Fe 0.813 0.813 0.813

---

Entry 8:
# DyGa2

Crystalline DyGa2 at its relaxed geometry (PBE, the Alexandria database).

Properties
- space group = Fd-3m, No. 227
- total magnetic moment (Bohr magnetons per cell) = 0.000
- calculated formation energy (meV per atom) = -554

Cell lengths 5.506, 5.506, 5.506 Å; angles 60.00, 60.00, 60.00 degrees
Element x y z (fractional)
Dy 0.125 0.125 0.125
Dy 0.875 0.875 0.875
Ga 0.000 0.500 0.500
Ga 0.500 0.000 0.500
Ga 0.500 0.500 0.000
Ga 0.500 0.500 0.500

---

Entry 9:
# Dy5Ga2

Crystalline Dy5Ga2 at its relaxed geometry (PBE, the Alexandria database).

Properties
- offset from the most stable computed form (meV/atom) = 0.0
- space group = C2/c, No. 15
- total magnetic moment (Bohr magnetons per cell) = 0.001
- calculated formation energy (meV per atom) = -326

Cell lengths 8.442, 8.442, 8.077 Å; angles 97.08, 97.08, 43.16 degrees
Element x y z (fractional)
Dy 0.125 0.875 0.750
Dy 0.137 0.305 0.319
Dy 0.269 0.541 0.076
Dy 0.305 0.137 0.819
Dy 0.459 0.731 0.424
Dy 0.541 0.269 0.576
Dy 0.695 0.863 0.181
Dy 0.731 0.459 0.924
Dy 0.863 0.695 0.681
Dy 0.875 0.125 0.250
Ga 0.090 0.703 0.418
Ga 0.297 0.910 0.082
Ga 0.703 0.090 0.918
Ga 0.910 0.297 0.582

---

Entry 10:
# Dy3Ga2

Crystalline Dy3Ga2 at its relaxed geometry (PBE, the Alexandria database).

Properties
- space group = I4/mcm, No. 140
- total magnetic moment (Bohr magnetons per cell) = 0.000
- calculated formation energy (meV per atom) = -541

Cell lengths 11.090, 11.090, 11.090 Å; angles 116.78, 116.78, 95.67 degrees
Element x y z (fractional)
Dy 0.067 0.932 0.270
Dy 0.068 0.338 0.135
Dy 0.146 0.646 0.500
Dy 0.162 0.432 0.865
Dy 0.169 0.331 0.500
Dy 0.203 0.933 0.865
Dy 0.297 0.162 0.730
Dy 0.331 0.831 0.162
Dy 0.338 0.203 0.270
Dy 0.354 0.854 0.500
Dy 0.432 0.567 0.270
Dy 0.433 0.703 0.865
Dy 0.567 0.297 0.135
Dy 0.568 0.433 0.730
Dy 0.646 0.146 0.500
Dy 0.662 0.797 0.730
Dy 0.669 0.169 0.838
Dy 0.703 0.838 0.270
Dy 0.797 0.067 0.135
Dy 0.831 0.669 0.500
Dy 0.838 0.568 0.135
Dy 0.854 0.354 0.500
Dy 0.932 0.662 0.865
Dy 0.933 0.068 0.730
Ga 0.000 0.000 0.000
Ga 0.024 0.879 0.500
Ga 0.118 0.618 0.735
Ga 0.121 0.621 0.145
Ga 0.250 0.250 0.000
Ga 0.379 0.524 0.500
Ga 0.382 0.118 0.500
Ga 0.476 0.976 0.855
Ga 0.500 0.500 0.000
Ga 0.524 0.024 0.145
Ga 0.618 0.882 0.500
Ga 0.621 0.476 0.500
Ga 0.750 0.750 0.000
Ga 0.879 0.379 0.855
Ga 0.882 0.382 0.265
Ga 0.976 0.121 0.500

---

Entry 11:
# DyGa2

Crystalline DyGa2 at its relaxed geometry (PBE, the Alexandria database).

Properties
- space group = P6/mmm, No. 191
- total magnetic moment (Bohr magnetons per cell) = 0.000
- calculated formation energy (meV per atom) = -644

Cell lengths 4.215, 4.215, 4.091 Å; angles 90.00, 90.00, 120.00 degrees
Element x y z (fractional)
Dy 0.000 0.000 0.000
Ga 0.333 0.667 0.500
Ga 0.667 0.333 0.500

---

Entry 12:
# Dy3Ga5

Crystalline Dy3Ga5 at its relaxed geometry (PBE, the Alexandria database).

Properties
- offset from the most stable computed form (meV/atom) = 0.0
- space group = Pnma, No. 62
- total magnetic moment (Bohr magnetons per cell) = 0.000
- calculated formation energy (meV per atom) = -658

Cell lengths 11.446, 9.700, 6.119 Å; angles 90.00, 90.00, 90.00 degrees
Element x y z (fractional)
Dy 0.075 0.250 0.153
Dy 0.148 0.510 0.610
Dy 0.148 0.990 0.610
Dy 0.352 0.010 0.110
Dy 0.352 0.490 0.110
Dy 0.425 0.750 0.653
Dy 0.575 0.250 0.347
Dy 0.648 0.510 0.890
Dy 0.648 0.990 0.890
Dy 0.852 0.010 0.390
Dy 0.852 0.490 0.390
Dy 0.925 0.750 0.847
Ga 0.006 0.250 0.630
Ga 0.090 0.553 0.127
Ga 0.090 0.947 0.127
Ga 0.199 0.750 0.900
Ga 0.248 0.750 0.325
Ga 0.252 0.250 0.825
Ga 0.301 0.250 0.400
Ga 0.410 0.053 0.627
Ga 0.410 0.447 0.627
Ga 0.494 0.750 0.130
Ga 0.506 0.250 0.870
Ga 0.590 0.553 0.373
Ga 0.590 0.947 0.373
Ga 0.699 0.750 0.600
Ga 0.748 0.750 0.175
Ga 0.752 0.250 0.675
Ga 0.801 0.250 0.100
Ga 0.910 0.053 0.873
Ga 0.910 0.447 0.873
Ga 0.994 0.750 0.370

---

no.,D(E_F) (states/eV/cell)
1,2.9
2,3.4
3,4.6
4,10.2
5,23.8
6,3.5
7,14.2
8,3.7
9,16.6
10,22.5
11,1.6
12,19.5